# Dy2TlPd

Dy2TlPd after structural relaxation (GGA-PBE, the Alexandria database).

Results
ΔH_f (0 K): -189.2 kJ/mol of formula units
space-group type: R-3m
calculated volume: 27.06 Å³ per atom

Lattice parameters (Å, degrees): 3.8506 3.8506 8.7168 77.24 77.24 60.00
With the nearest neighbours (Å) after each atom.
Sites, in units of the cell vectors:
Dy (0.7369, 0.7369, 0.7894)  3 Pd 2.84
Dy (0.2631, 0.2631, 0.2106)  3 Pd 2.84
Pd (0.0000, 0.0000, 0.0000)  6 Dy 2.84
Tl (0.5000, 0.5000, 0.5000)  6 Dy 3.30

=====

# Dy2Tl2Pd5

Dy2Tl2Pd5 after structural relaxation (GGA-PBE, the Alexandria database).

Results
ΔH_f (0 K): -373.5 kJ/mol of formula units
space-group type: Ima2
calculated volume: 21.64 Å³ per atom

Lattice parameters (Å, degrees): 7.3409 7.1818 8.9968 113.52 114.08 90.00
With the nearest neighbours (Å) after each atom.
Sites, in units of the cell vectors:
Pd (0.5282, 0.2068, 0.6801)  2 Pd 2.66-2.72, 3 Tl 2.80-2.88, 1 Dy 2.91
Pd (0.6915, 0.7773, 0.0136)  2 Tl 2.65-2.67, 2 Pd 2.72, 1 Dy 2.83
Pd (0.3481, 0.0267, 0.3199)  2 Pd 2.66-2.72, 3 Tl 2.80-2.88, 1 Dy 2.91
Pd (0.1780, 0.2637, 0.9864)  2 Tl 2.65-2.67, 2 Pd 2.72, 1 Dy 2.83
Pd (0.0690, 0.0892, 0.5000)  2 Tl 2.78-2.81, 2 Dy 2.96, 2 Pd 3.02
Pd (0.9310, 0.5892, 0.5000)  2 Tl 2.78-2.81, 2 Dy 2.96, 2 Pd 3.02
Pd (0.6519, 0.7068, 0.6801)  2 Pd 2.66-2.72, 3 Tl 2.80-2.88, 1 Dy 2.91
Pd (0.3085, 0.7637, 0.9864)  2 Tl 2.65-2.67, 2 Pd 2.72, 1 Dy 2.83
Pd (0.8220, 0.2773, 0.0136)  2 Tl 2.65-2.67, 2 Pd 2.72, 1 Dy 2.83
Pd (0.4718, 0.5267, 0.3199)  2 Pd 2.66-2.72, 3 Tl 2.80-2.88, 1 Dy 2.91
Dy (0.0743, 0.6736, 0.2456)  6 Pd 2.83-3.13
Dy (0.9257, 0.4279, 0.7544)  6 Pd 2.83-3.13
Dy (0.6713, 0.1736, 0.2456)  6 Pd 2.83-3.13
Dy (0.3287, 0.9279, 0.7544)  6 Pd 2.83-3.13
Tl (0.2718, 0.4207, 0.5000)  6 Pd 2.78-2.88
Tl (0.7282, 0.9207, 0.5000)  6 Pd 2.78-2.88
Tl (0.0000, 0.9501, 0.0000)  6 Pd 2.65-2.80
Tl (0.5000, 0.4501, 0.0000)  6 Pd 2.65-2.80

=====

# Dy4TlPd2

Dy4TlPd2 after structural relaxation (GGA-PBE, the Alexandria database).

Results
ΔH_f (0 K): -312.9 kJ/mol of formula units
space-group type: R-3m
calculated volume: 27.33 Å³ per atom

Lattice parameters (Å, degrees): 4.7765 4.7765 10.0666 76.28 76.28 60.00
With the nearest neighbours (Å) after each atom.
Sites, in units of the cell vectors:
Tl (0.5000, 0.5000, 0.5000)  2 Pd 2.94, 6 Dy 3.13
Dy (0.2971, 0.2971, 0.1086)  4 Pd 2.89-2.95
Dy (0.8843, 0.8843, 0.3472)  3 Pd 3.12, 3 Tl 3.13
Dy (0.7029, 0.7029, 0.8914)  4 Pd 2.89-2.95
Dy (0.1157, 0.1157, 0.6528)  3 Pd 3.12, 3 Tl 3.13
Pd (0.6013, 0.6013, 0.1962)  7 Dy 2.89-3.12, 1 Tl 2.94
Pd (0.3987, 0.3987, 0.8038)  7 Dy 2.89-3.12, 1 Tl 2.94

=====

# Dy2TlPd

Dy2TlPd after structural relaxation (GGA-PBE, the Alexandria database).

Results
ΔH_f (0 K): -238.9 kJ/mol of formula units
space-group type: P4/mmm
calculated volume: 24.43 Å³ per atom

Lattice parameters (Å, degrees): 3.5644 3.5644 7.6906 90.00 90.00 90.00
With the nearest neighbours (Å) after each atom.
Sites, in units of the cell vectors:
Dy (0.0000, 0.0000, 0.7775)  4 Pd 3.05, 4 Tl 3.30
Dy (0.0000, 0.0000, 0.2225)  4 Pd 3.05, 4 Tl 3.30
Pd (0.5000, 0.5000, 0.0000)  8 Dy 3.05
Tl (0.5000, 0.5000, 0.5000)  8 Dy 3.30, 4 Tl 3.56

=====

# DyTlPd6

DyTlPd6 after structural relaxation (GGA-PBE, the Alexandria database).

Results
ΔH_f (0 K): -71.3 kJ/mol of formula units
space-group type: R-3m
calculated volume: 20.48 Å³ per atom

Lattice parameters (Å, degrees): 5.4962 5.4962 5.4962 84.44 84.44 84.44
With the nearest neighbours (Å) after each atom.
Sites, in units of the cell vectors:
Pd (0.4685, 0.8401, 0.8401)  5 Pd 2.67-2.87, 1 Dy 2.73, 1 Tl 2.75
Pd (0.5315, 0.1599, 0.1599)  5 Pd 2.67-2.87, 1 Dy 2.73, 1 Tl 2.75
Pd (0.1599, 0.1599, 0.5315)  5 Pd 2.67-2.87, 1 Dy 2.73, 1 Tl 2.75
Pd (0.1599, 0.5315, 0.1599)  5 Pd 2.67-2.87, 1 Dy 2.73, 1 Tl 2.75
Pd (0.8401, 0.8401, 0.4685)  5 Pd 2.67-2.87, 1 Dy 2.73, 1 Tl 2.75
Pd (0.8401, 0.4685, 0.8401)  5 Pd 2.67-2.87, 1 Dy 2.73, 1 Tl 2.75
Dy (0.0000, 0.0000, 0.0000)  6 Pd 2.73
Tl (0.5000, 0.5000, 0.5000)  6 Pd 2.75

=====

# DyTlPd

DyTlPd after structural relaxation (GGA-PBE, the Alexandria database).

Results
ΔH_f (0 K): -151.1 kJ/mol of formula units
space-group type: F-43m
calculated volume: 25.28 Å³ per atom

Lattice parameters (Å, degrees): 4.7513 4.7513 4.7513 60.00 60.00 60.00
With the nearest neighbours (Å) after each atom.
Sites, in units of the cell vectors:
Pd (0.2500, 0.2500, 0.2500)  4 Dy 2.91, 4 Tl 2.91
Tl (0.5000, 0.5000, 0.5000)  4 Pd 2.91
Dy (0.0000, 0.0000, 0.0000)  4 Pd 2.91

=====

# DyTlPd

DyTlPd after structural relaxation (GGA-PBE, the Alexandria database).

Results
ΔH_f (0 K): -150.1 kJ/mol of formula units
space-group type: I4mm
calculated volume: 22.72 Å³ per atom

Lattice parameters (Å, degrees): 3.7734 3.7734 5.4803 110.14 110.14 90.00
With the nearest neighbours (Å) after each atom.
Sites, in units of the cell vectors:
Pd (0.2902, 0.2902, 0.5803)  5 Dy 3.02-3.38, 5 Tl 3.11-3.18
Tl (0.6223, 0.6223, 0.2447)  5 Dy 3.02-3.20, 5 Pd 3.11-3.18
Dy (0.9375, 0.9375, 0.8750)  5 Tl 3.02-3.20, 5 Pd 3.02-3.38

=====

# Dy7Tl2Pd2

Dy7Tl2Pd2 after structural relaxation (GGA-PBE, the Alexandria database).

Results
ΔH_f (0 K): -328.4 kJ/mol of formula units
space-group type: Cmmm
calculated volume: 29.45 Å³ per atom

Lattice parameters (Å, degrees): 6.9105 7.1078 6.9105 90.00 107.35 90.00
With the nearest neighbours (Å) after each atom.
Sites, in units of the cell vectors:
Dy (0.4998, 0.2448, 0.5002)  2 Pd 2.91, 2 Tl 3.19
Dy (0.5002, 0.7552, 0.4998)  2 Pd 2.91, 2 Tl 3.19
Dy (0.9998, 0.2531, 0.5003)  2 Pd 2.76
Dy (0.4997, 0.2531, 0.0002)  2 Pd 2.76
Dy (0.5003, 0.7469, 0.9998)  2 Pd 2.76
Dy (0.0000, 0.0000, 0.0000)  2 Pd 3.23
Dy (0.0002, 0.7469, 0.4997)  2 Pd 2.76
Pd (0.2903, 0.0000, 0.7097)  6 Dy 2.76-2.91
Pd (0.7097, 0.0000, 0.2903)  6 Dy 2.76-2.91
Tl (0.1802, 0.5000, 0.1802)  1 Tl 2.95, 2 Dy 3.19
Tl (0.8198, 0.5000, 0.8198)  1 Tl 2.95, 2 Dy 3.19

=====

What are the DFT total energy values for these records? In order: -18.7, -87.5, -34.4, -19.2, -38.9, -13.7, -13.7, -50.7 eV/cell.